#one
# Y2TmSc

A relaxed structure of Y2TmSc (GGA-PBE, Alexandria).

Structure (POSCAR):
```
Y2TmSc
1.0
3.487 0.000 0.000
-1.743 3.020 0.000
0.000 0.000 33.830
Y Tm Sc
6 3 3
Cartesian
0.000 0.000 8.372
0.000 0.000 25.458
0.000 2.013 14.181
0.000 2.013 30.925
1.743 1.007 2.905
1.743 1.007 19.649
0.000 0.000 0.000
0.000 2.013 22.553
1.743 1.007 11.277
0.000 0.000 16.915
0.000 2.013 5.638
1.743 1.007 28.191
```

#two
# Y2TmSc

A relaxed structure of Y2TmSc (GGA-PBE, Alexandria).

Structure (POSCAR):
```
Y2TmSc
1.0
4.927 0.000 0.000
0.000 4.927 0.000
0.000 0.000 4.891
Y Tm Sc
2 1 1
Cartesian
0.000 2.464 0.000
2.464 0.000 0.000
0.000 0.000 2.446
2.464 2.464 2.446
```

What should be chosen as the least stable of them? Choose #one.

#one
# Y2TmSc

A relaxed structure of Y2TmSc (GGA-PBE, Alexandria).

Structure (POSCAR):
```
Y2TmSc
1.0
3.503 0.000 0.000
0.000 3.503 0.000
0.000 0.000 9.687
Y Tm Sc
2 1 1
Cartesian
0.000 0.000 2.334
0.000 0.000 7.353
1.751 1.751 4.844
1.751 1.751 0.000
```

#two
# Y2TmSc

A relaxed structure of Y2TmSc (GGA-PBE, Alexandria).

Structure (POSCAR):
```
Y2TmSc
1.0
12.605 0.000 0.000
0.000 3.553 0.000
-2.961 0.000 5.358
Y Tm Sc
4 2 2
Cartesian
0.000 0.000 0.000
1.323 0.000 3.134
6.302 1.776 0.000
7.625 1.776 3.134
4.697 0.000 2.622
10.999 1.776 2.622
2.853 1.776 0.436
9.155 0.000 0.436
```

What should be chosen as the least stable of them? Choose #one.

#one
# Y2Tm3Sc3

A relaxed structure of Y2Tm3Sc3 (GGA-PBE, Alexandria).

Structure (POSCAR):
```
Y2Tm3Sc3
1.0
4.808 0.000 0.000
0.000 4.879 0.000
0.000 0.000 19.389
Y Tm Sc
4 6 6
Cartesian
0.000 0.000 4.832
0.000 0.000 14.557
2.404 2.439 4.863
2.404 2.439 14.526
0.000 0.000 0.000
0.000 2.439 2.339
0.000 2.439 17.049
2.404 0.000 7.355
2.404 0.000 12.034
2.404 2.439 9.694
0.000 0.000 9.694
0.000 2.439 7.329
0.000 2.439 12.059
2.404 0.000 2.365
2.404 0.000 17.024
2.404 2.439 0.000
```

#two
# Y2Tm3Sc3

A relaxed structure of Y2Tm3Sc3 (GGA-PBE, Alexandria).

Structure (POSCAR):
```
Y2Tm3Sc3
1.0
4.193 2.421 3.899
-4.193 2.421 3.899
0.000 -4.841 3.899
Y Tm Sc
2 3 3
Cartesian
0.000 0.000 2.902
0.000 0.000 8.794
-1.002 -3.107 3.899
-2.190 2.421 3.899
3.191 0.686 3.899
-1.889 0.000 5.848
0.944 -1.636 5.848
0.944 1.636 5.848
```

What should be chosen as the least stable of them? Choose #two.

#one
# Y5Tm4Sc2

A relaxed structure of Y5Tm4Sc2 (GGA-PBE, Alexandria).

Structure (POSCAR):
```
Y5Tm4Sc2
1.0
11.412 -1.751 0.000
11.412 1.751 0.000
-2.252 0.000 8.249
Y Tm Sc
5 4 2
Cartesian
0.000 0.000 0.000
5.888 0.000 1.541
6.257 0.000 7.546
14.314 0.000 0.703
14.684 0.000 6.708
3.112 0.000 3.733
8.975 0.000 5.215
11.597 0.000 3.034
17.460 0.000 4.516
0.404 0.000 5.952
20.167 0.000 2.297
```

#two
# Y5Tm4Sc2

A relaxed structure of Y5Tm4Sc2 (GGA-PBE, Alexandria).

Structure (POSCAR):
```
Y5Tm4Sc2
1.0
-1.721 4.494 11.188
1.721 -4.494 11.188
1.721 4.494 -11.188
Y Tm Sc
5 4 2
Cartesian
0.000 0.000 0.000
1.721 1.817 -3.364
1.721 1.817 3.364
0.000 2.677 7.824
0.000 2.677 14.553
1.721 2.797 0.000
1.721 0.000 8.992
0.000 4.494 2.196
0.000 1.697 11.188
1.721 0.000 6.053
0.000 4.494 5.135
```

What should be chosen as the least stable of them? Choose #two.